Density functional theory data (PBE) for a relaxed Tb2Pm2Sc7 crystal.

- Magnetization: 0.000 μB/f.u.
- Energy: -5.601 eV/atom
- DOS at the Fermi energy: 34.0 states/eV/cell
- Formation energy from the elements: 1.5 eV per formula unit

Cell: 6.4815 10.3171 9.1258 Å, 90.00 90.56 90.00°
Last column: nearest neighbours and their distance in Å.
Space group C2/m (No. 12)
One atom of each set of equivalent atoms:
Tb1 0.0000 0.2089 0.0000 (multiplicity 4)  2 Tb 3.35, 2 Pm 3.35, 6 Sc 3.37-3.41
Pm1 0.1707 0.0000 0.7469 (multiplicity 4)  6 Sc 3.12-3.32, 2 Tb 3.35
Sc1 0.0000 0.5000 0.5000 (multiplicity 2)  2 Pm 3.12, 10 Sc 3.36-3.43
Sc2 0.1506 0.5000 0.8605 (multiplicity 4)  4 Sc 3.18-3.42, 2 Pm 3.27-3.54, 4 Tb 3.37-3.41
Sc3 0.1593 0.2102 0.3547 (multiplicity 8)  5 Sc 3.01-3.36, 2 Pm 3.18-3.32